(1)
NbHg2BSe | the Alexandria database | PBE | optimized geometry; formation energy (no corrections) = 142.9 kJ/mol of atoms; space group = P4/mmm, No. 123
1.0
-4.6387 -0.0093 -3.3734
-2.1281 -0.9787 2.9290
-0.8876 5.5369 1.2052
Nb B Hg Se
1 1 2 1
direct
0.5000 0.5000 0.5000 Nb
0.0000 0.5000 0.0000 B
0.0000 0.0000 0.5000 Hg
0.5000 0.0000 0.0000 Hg
0.0000 0.0000 0.0000 Se

***

(2)
NbVHgB2 | the Alexandria database | PBE | optimized geometry; E_form = 8.1 eV per formula unit; space group = P4/mmm, No. 123
1.0
-1.3319 -3.6447 1.6389
3.1781 0.6741 4.0817
-3.0634 2.0405 2.0483
Nb B V Hg
1 2 1 1
direct
0.0000 0.0000 0.0000 Nb
0.5000 0.0000 0.0000 B
0.0000 0.0000 0.5000 B
0.5000 0.5000 0.5000 V
0.0000 0.5000 0.0000 Hg

***

(3)
Nd3HgB2Rh9 | the Alexandria database | PBE | optimized geometry; E_form = -6.5 eV per formula unit; space group = P-3m1, No. 164
1.0
-4.1299 0.0690 4.1956
5.0124 -2.9689 0.8518
3.7404 7.3367 3.5612
Nd B Rh Hg
3 2 9 1
direct
0.0000 0.0000 0.0000 Nd
0.6667 0.3333 0.3327 Nd
0.3333 0.6667 0.6673 Nd
0.3333 0.6667 0.1423 B
0.6667 0.3333 0.8577 B
0.0000 0.5000 0.0000 Rh
0.5000 0.5000 0.0000 Rh
0.6703 0.8352 0.2655 Rh
0.5000 0.0000 0.0000 Rh
0.1648 0.3297 0.2655 Rh
0.3297 0.1648 0.7345 Rh
0.8352 0.6703 0.7345 Rh
0.8352 0.1648 0.7345 Rh
0.1648 0.8352 0.2655 Rh
0.0000 0.0000 0.5000 Hg